No. 1
TiFe2Mo2: relaxed, PBE.

Output
Electronic total energy (eV per formula unit): -45.2
Distance to the lowest polymorph of the same formula (meV/atom): 148
Calculated formation energy (eV per atom): 0.26

Unit cell a=3.913 b=3.913 c=9.935 alpha=90.00 beta=90.00 gamma=90.00
Space group I4/mmm (No. 139)
Inequivalent atoms, fractional coordinates:
1 Ti 0.000 0.000 0.000 (multiplicity 2)
2 Fe 0.000 0.000 0.396 (multiplicity 4)
3 Mo 0.000 0.500 0.250 (multiplicity 4)

=====

No. 2
Ti8FeMo2: relaxed, PBE.

Output
Electronic total energy (eV per formula unit): -93.6
Calculated formation energy (eV per atom): -0.03

Unit cell a=14.153 b=4.416 c=5.930 alpha=90.00 beta=105.90 gamma=90.00
Space group C2/m (No. 12)
Inequivalent atoms, fractional coordinates:
1 Ti 0.020 0.000 0.260 (multiplicity 4)
2 Ti 0.104 0.500 0.934 (multiplicity 4)
3 Ti 0.156 0.500 0.421 (multiplicity 4)
4 Ti 0.174 0.000 0.710 (multiplicity 4)
5 Fe 0.000 0.500 0.500 (multiplicity 2)
6 Mo 0.203 0.000 0.161 (multiplicity 4)

=====

No. 3
Ti4FeMo: relaxed, PBE.

Output
Electronic total energy (eV per formula unit): -50.8
Calculated formation energy (eV per atom): 0.01

Unit cell a=12.483 b=6.488 c=4.937 alpha=90.00 beta=103.82 gamma=90.00
Space group C2/m (No. 12)
Inequivalent atoms, fractional coordinates:
1 Ti 0.000 0.199 0.000 (multiplicity 4)
2 Ti 0.137 0.232 0.584 (multiplicity 8)
3 Ti 0.174 0.500 0.151 (multiplicity 4)
4 Fe 0.016 0.500 0.738 (multiplicity 4)
5 Mo 0.203 0.000 0.197 (multiplicity 4)

=====

No. 4
TiVFeMo: relaxed, PBE.

Output
Electronic total energy (eV per formula unit): -36.9
Distance to the lowest polymorph of the same formula (meV/atom): 21
Calculated formation energy (eV per atom): -0.16

Unit cell a=3.017 b=3.017 c=6.076 alpha=90.00 beta=90.00 gamma=90.00
Space group P4mm (No. 99)
Inequivalent atoms, fractional coordinates:
1 Ti 0.000 0.000 0.000 (multiplicity 1)
2 V 0.000 0.000 0.480 (multiplicity 1)
3 Fe 0.500 0.500 0.246 (multiplicity 1)
4 Mo 0.500 0.500 0.728 (multiplicity 1)

=====

No. 5
TiVFeMo: relaxed, PBE.

Output
Electronic total energy (eV per formula unit): -37.0
Distance to the lowest polymorph of the same formula (meV/atom): 0
Calculated formation energy (eV per atom): -0.18

Unit cell a=6.030 b=6.030 c=6.030 alpha=90.00 beta=90.00 gamma=90.00
Space group F-43m (No. 216)
Inequivalent atoms, fractional coordinates:
1 Ti 0.000 0.000 0.000 (multiplicity 4)
2 V 0.000 0.000 0.500 (multiplicity 4)
3 Fe 0.250 0.250 0.750 (multiplicity 4)
4 Mo 0.250 0.250 0.250 (multiplicity 4)

=====

No. 6
Y2TiFeMo: relaxed, PBE.

Output
Electronic total energy (eV per formula unit): -33.1
Calculated formation energy (eV per atom): 1.40

Unit cell a=5.334 b=5.334 c=4.367 alpha=90.00 beta=90.00 gamma=90.00
Space group P4/mmm (No. 123)
Inequivalent atoms, fractional coordinates:
1 Y 0.000 0.500 0.000 (multiplicity 2)
2 Ti 0.000 0.000 0.000 (multiplicity 1)
3 Fe 0.500 0.500 0.500 (multiplicity 1)
4 Mo 0.000 0.000 0.500 (multiplicity 1)